No. 1
DFT (PBE-GGA) results for a relaxed structure of ScAgB4.

Structure (extended XYZ):
```
6
Lattice="-1.898 1.884 1.640 -1.198 -2.391 -1.640 0.689 -4.212 5.636" Properties=species:S:1:pos:R:3 pbc="T T T"
B -1.138 -2.761 4.856
B -1.269 -1.957 0.780
B -0.905 -4.186 3.763
B -1.503 -0.532 1.873
Ag 0.344 -2.106 2.818
Sc 0.000 0.000 0.000
```

Values from the calculation:
M_tot in μB per atom: 0.0011
Polymorph energy (0 for the lowest one) in eV per atom: 0.0154

=====

No. 2
DFT (PBE-GGA) results for a relaxed structure of SiAgB2.

Structure (extended XYZ):
```
4
Lattice="-2.280 2.831 1.976 -0.825 3.625 -1.814 -3.838 0.838 -1.297" Properties=species:S:1:pos:R:3 pbc="T T T"
B 0.000 0.000 0.000
B -1.736 1.823 -0.284
Si -5.207 5.470 -0.852
Ag -3.471 3.647 -0.568
```

Values from the calculation:
Calculated total energy in eV/atom: -3.77

=====

No. 3
DFT (PBE-GGA) results for a relaxed structure of SiAgB4.

Structure (extended XYZ):
```
6
Lattice="-1.531 2.680 3.540 1.531 -2.680 3.540 1.531 2.680 -3.540" Properties=species:S:1:pos:R:3 pbc="T T T"
Si 0.000 0.000 3.540
B 1.531 -0.896 1.821
B 0.000 1.785 1.719
B 0.000 3.576 1.719
B 1.531 0.896 1.821
Ag 0.000 0.000 0.000
```

Values from the calculation:
Polymorph energy (0 for the lowest one) in eV per atom: 0.1249

=====

No. 4
DFT (PBE-GGA) results for a relaxed structure of SiAgB4.

Structure (extended XYZ):
```
6
Lattice="3.007 0.000 0.000 -1.504 2.604 0.000 0.000 0.000 7.278" Properties=species:S:1:pos:R:3 pbc="T T T"
B 1.504 0.868 5.706
B 0.000 1.736 1.571
B 0.000 1.736 5.706
B 1.504 0.868 1.571
Si 0.000 0.000 0.000
Ag 0.000 0.000 3.639
```

Values from the calculation:
Polymorph energy (0 for the lowest one) in eV per atom: 0.0000